(1)
Here is a geometry-optimized PaIrRu structure from Alexandria. Energies are from PBE-GGA. Values from VASP.

Summary:
**Mass density**: 16.2 g/cm3
**Symmetry**: Cmcm, No. 63
**Crystal system**: orthorhombic
**Relative energy among the computed polymorphs**: 0 meV per atom
**Total DFT energy (no corrections)**: -58.869 eV per cell

The structure in Quantum ESPRESSO input format:
```
&SYSTEM
  ibrav = 0, nat = 6, ntyp = 3
/
ATOMIC_SPECIES
Pa 231.04 Pa.upf
Ir 192.22 Ir.upf
Ru 101.07 Ru.upf
ATOMIC_POSITIONS crystal
Pa 0.6663 0.7500 0.8327
Pa 0.3337 0.2500 0.1673
Ir 0.0000 0.5000 0.5000
Ir 0.0000 0.0000 0.5000
Ru 0.3359 0.7500 0.1718
Ru 0.6641 0.2500 0.8282
CELL_PARAMETERS angstrom
-3.3734 -2.3569 -2.1779
3.4156 -4.6063 -0.3056
0.2838 -0.0976 4.6428
```

=====

(2)
Here is a geometry-optimized PaIr2Ru structure from Alexandria. Energies are from PBE-GGA. Values from VASP.

Summary:
**Mass density**: 16.6 g/cm3
**Symmetry**: R-3m, No. 166
**Crystal system**: trigonal
**Relative energy among the computed polymorphs**: 579 meV per atom
**Total DFT energy (no corrections)**: -37.103 eV per cell

The structure in Quantum ESPRESSO input format:
```
&SYSTEM
  ibrav = 0, nat = 4, ntyp = 3
/
ATOMIC_SPECIES
Ru 101.07 Ru.upf
Pa 231.04 Pa.upf
Ir 192.22 Ir.upf
ATOMIC_POSITIONS crystal
Ru 0.0000 0.0000 0.0000
Pa 0.5000 0.5000 0.5000
Ir 0.7726 0.7726 0.6823
Ir 0.2274 0.2274 0.3177
CELL_PARAMETERS angstrom
4.6136 0.0000 0.0000
2.3068 3.9955 0.0000
2.3068 1.3318 3.8820
```

=====

(3)
Here is a geometry-optimized PaIr2Ru structure from Alexandria. Energies are from PBE-GGA. Values from VASP.

Summary:
**Mass density**: 17.6 g/cm3
**Symmetry**: P4/mmm, No. 123
**Crystal system**: tetragonal
**Relative energy among the computed polymorphs**: 0 meV per atom
**Total DFT energy (no corrections)**: -39.417 eV per cell

The structure in Quantum ESPRESSO input format:
```
&SYSTEM
  ibrav = 0, nat = 4, ntyp = 3
/
ATOMIC_SPECIES
Ru 101.07 Ru.upf
Pa 231.04 Pa.upf
Ir 192.22 Ir.upf
ATOMIC_POSITIONS crystal
Ru 0.5000 0.5000 0.5000
Pa 0.5000 0.0000 0.0000
Ir 0.0000 0.0000 0.5000
Ir 0.0000 0.5000 0.0000
CELL_PARAMETERS angstrom
-2.5517 1.2627 -2.9805
-3.1724 -0.7773 2.3867
0.1691 3.7716 1.4531
```

=====

(4)
Here is a geometry-optimized PaIrRu structure from Alexandria. Energies are from PBE-GGA. Values from VASP.

Summary:
**Mass density**: 16.2 g/cm3
**Symmetry**: Immm, No. 71
**Crystal system**: orthorhombic
**Relative energy among the computed polymorphs**: 194 meV per atom
**Total DFT energy (no corrections)**: -57.704 eV per cell

The structure in Quantum ESPRESSO input format:
```
&SYSTEM
  ibrav = 0, nat = 6, ntyp = 3
/
ATOMIC_SPECIES
Ru 101.07 Ru.upf
Pa 231.04 Pa.upf
Ir 192.22 Ir.upf
ATOMIC_POSITIONS crystal
Ru 0.0000 0.8305 0.1695
Ru 0.0000 0.1695 0.8305
Pa 0.5000 0.6892 0.3108
Pa 0.5000 0.3108 0.6892
Ir 0.7552 0.7448 0.7448
Ir 0.2448 0.2552 0.2552
CELL_PARAMETERS angstrom
-2.4117 -2.6255 3.0304
2.9995 -2.5852 3.7596
-2.9783 2.7707 3.6425
```

=====

(5)
Here is a geometry-optimized Pa4IrRuS2 structure from Alexandria. Energies are from PBE-GGA. Values from VASP.

Summary:
**Mass density**: 12.0 g/cm3
**Symmetry**: P2/m, No. 10
**Crystal system**: monoclinic
**Raw formation energy**: -1.04 eV per atom
**Total DFT energy (no corrections)**: -72.678 eV per cell

The structure in Quantum ESPRESSO input format:
```
&SYSTEM
  ibrav = 0, nat = 8, ntyp = 4
/
ATOMIC_SPECIES
Pa 231.04 Pa.upf
Ir 192.22 Ir.upf
Ru 101.07 Ru.upf
S 32.06 S.upf
ATOMIC_POSITIONS crystal
Pa 0.0000 0.7440 0.7552
Pa 0.0000 0.2560 0.2448
Pa 0.5000 0.7448 0.2481
Pa 0.5000 0.2552 0.7519
Ir 0.0000 0.5000 0.5000
Ru 0.5000 0.5000 0.0000
S 0.0000 0.0000 0.0000
S 0.5000 0.0000 0.5000
CELL_PARAMETERS angstrom
3.8432 0.0000 0.0000
0.0000 7.2679 -0.3726
0.0000 2.3433 6.2162
```

=====

(6)
Here is a geometry-optimized ScPaIrRu structure from Alexandria. Energies are from PBE-GGA. Values from VASP.

Summary:
**Mass density**: 12.5 g/cm3
**Symmetry**: F-43m, No. 216
**Crystal system**: cubic
**Total DFT energy (no corrections)**: -36.528 eV per cell

The structure in Quantum ESPRESSO input format:
```
&SYSTEM
  ibrav = 0, nat = 4, ntyp = 4
/
ATOMIC_SPECIES
Sc 44.96 Sc.upf
Ru 101.07 Ru.upf
Pa 231.04 Pa.upf
Ir 192.22 Ir.upf
ATOMIC_POSITIONS crystal
Sc 0.0000 0.0000 0.0000
Ru 0.2500 0.2500 0.2500
Pa 0.5000 0.5000 0.5000
Ir 0.7500 0.7500 0.7500
CELL_PARAMETERS angstrom
4.7447 0.0000 0.0000
2.3723 4.1090 0.0000
2.3723 1.3697 3.8740
```

=====

(7)
Here is a geometry-optimized Pa2Si6IrRu structure from Alexandria. Energies are from PBE-GGA. Values from VASP.

Summary:
**Mass density**: 9.0 g/cm3
**Symmetry**: R-3m, No. 166
**Crystal system**: trigonal
**Raw formation energy**: -0.42 eV per atom
**Total DFT energy (no corrections)**: -147.814 eV per cell

The structure in Quantum ESPRESSO input format:
```
&SYSTEM
  ibrav = 0, nat = 20, ntyp = 4
/
ATOMIC_SPECIES
Pa 231.04 Pa.upf
Si 28.09 Si.upf
Ir 192.22 Ir.upf
Ru 101.07 Ru.upf
ATOMIC_POSITIONS crystal
Pa 0.8648 0.8648 0.4057
Pa 0.1352 0.1352 0.5943
Pa 0.7160 0.7160 0.8521
Pa 0.2840 0.2840 0.1479
Si 0.9188 0.3575 0.3661
Si 0.3575 0.9188 0.3661
Si 0.3575 0.3575 0.3661
Si 0.0812 0.6425 0.6339
Si 0.6425 0.0812 0.6339
Si 0.6425 0.6425 0.6339
Si 0.7821 0.2032 0.8114
Si 0.2032 0.7821 0.8114
Si 0.2032 0.2032 0.8114
Si 0.2179 0.7968 0.1886
Si 0.7968 0.2179 0.1886
Si 0.7968 0.7968 0.1886
Ir 0.6395 0.6395 0.0815
Ir 0.3605 0.3605 0.9185
Ru 0.0000 0.0000 0.0000
Ru 0.5000 0.5000 0.5000
CELL_PARAMETERS angstrom
5.7825 0.0000 0.0000
2.8913 5.0078 0.0000
2.8913 1.6693 11.7877
```

=====

(8)
Here is a geometry-optimized Pa2Si3Ir4Ru structure from Alexandria. Energies are from PBE-GGA. Values from VASP.

Summary:
**Mass density**: 13.8 g/cm3
**Symmetry**: P-4m2, No. 115
**Crystal system**: tetragonal
**Raw formation energy**: -0.81 eV per atom
**Total DFT energy (no corrections)**: -88.060 eV per cell

The structure in Quantum ESPRESSO input format:
```
&SYSTEM
  ibrav = 0, nat = 10, ntyp = 4
/
ATOMIC_SPECIES
Pa 231.04 Pa.upf
Si 28.09 Si.upf
Ir 192.22 Ir.upf
Ru 101.07 Ru.upf
ATOMIC_POSITIONS crystal
Pa 0.5000 0.0000 0.2460
Pa 0.0000 0.5000 0.7540
Si 0.0000 0.0000 0.5000
Si 0.5000 0.0000 0.8725
Si 0.0000 0.5000 0.1275
Ir 0.5000 0.5000 0.0000
Ir 0.0000 0.0000 0.0000
Ir 0.5000 0.0000 0.6476
Ir 0.0000 0.5000 0.3524
Ru 0.5000 0.5000 0.5000
CELL_PARAMETERS angstrom
4.0334 0.0000 0.0000
0.0000 4.0334 0.0000
0.0000 0.0000 10.4874
```

=====

(9)
Here is a geometry-optimized Pa2Si4Ir3Ru structure from Alexandria. Energies are from PBE-GGA. Values from VASP.

Summary:
**Mass density**: 12.4 g/cm3
**Symmetry**: P-4m2, No. 115
**Crystal system**: tetragonal
**Raw formation energy**: -0.97 eV per atom
**Total DFT energy (no corrections)**: -86.287 eV per cell

The structure in Quantum ESPRESSO input format:
```
&SYSTEM
  ibrav = 0, nat = 10, ntyp = 4
/
ATOMIC_SPECIES
Pa 231.04 Pa.upf
Si 28.09 Si.upf
Ir 192.22 Ir.upf
Ru 101.07 Ru.upf
ATOMIC_POSITIONS crystal
Pa 0.5000 0.0000 0.2527
Pa 0.0000 0.5000 0.7473
Si 0.5000 0.5000 0.0000
Si 0.0000 0.0000 0.0000
Si 0.5000 0.0000 0.6291
Si 0.0000 0.5000 0.3709
Ir 0.0000 0.0000 0.5000
Ir 0.5000 0.0000 0.8727
Ir 0.0000 0.5000 0.1273
Ru 0.5000 0.5000 0.5000
CELL_PARAMETERS angstrom
-0.9840 4.0100 0.3993
-2.4341 -0.2639 -3.3486
-7.5562 -2.4200 5.6834
```

=====

(10)
Here is a geometry-optimized PaSi2Ir2Ru structure from Alexandria. Energies are from PBE-GGA. Values from VASP.

Summary:
**Mass density**: 9.9 g/cm3
**Symmetry**: I4/mmm, No. 139
**Crystal system**: tetragonal
**Raw formation energy**: 0.03 eV per atom
**Total DFT energy (no corrections)**: -47.130 eV per cell

The structure in Quantum ESPRESSO input format:
```
&SYSTEM
  ibrav = 0, nat = 6, ntyp = 4
/
ATOMIC_SPECIES
Pa 231.04 Pa.upf
Si 28.09 Si.upf
Ir 192.22 Ir.upf
Ru 101.07 Ru.upf
ATOMIC_POSITIONS crystal
Pa 0.5000 0.5000 0.0000
Si 0.6698 0.6698 0.3396
Si 0.3302 0.3302 0.6604
Ir 0.2500 0.7500 0.5000
Ir 0.7500 0.2500 0.5000
Ru 0.0000 0.0000 0.0000
CELL_PARAMETERS angstrom
-3.1702 0.2788 2.1676
0.0838 -3.8007 0.6114
6.5003 3.0105 5.6997
```

=====

(11)
Here is a geometry-optimized PaSiIrRu structure from Alexandria. Energies are from PBE-GGA. Values from VASP.

Summary:
**Mass density**: 11.9 g/cm3
**Symmetry**: Pmmm, No. 47
**Crystal system**: orthorhombic
**Raw formation energy**: -0.31 eV per atom
**Total DFT energy (no corrections)**: -34.293 eV per cell

The structure in Quantum ESPRESSO input format:
```
&SYSTEM
  ibrav = 0, nat = 4, ntyp = 4
/
ATOMIC_SPECIES
Pa 231.04 Pa.upf
Si 28.09 Si.upf
Ir 192.22 Ir.upf
Ru 101.07 Ru.upf
ATOMIC_POSITIONS crystal
Pa 0.5000 0.5000 0.5000
Si 0.0000 0.0000 0.0000
Ir 0.0000 0.5000 0.0000
Ru 0.0000 0.0000 0.5000
CELL_PARAMETERS angstrom
3.5384 0.0000 0.0000
0.0000 4.6353 0.0000
0.0000 0.0000 4.7077
```

=====

(12)
Here is a geometry-optimized TbPaIrRu structure from Alexandria. Energies are from PBE-GGA. Values from VASP.

Summary:
**Mass density**: 13.9 g/cm3
**Symmetry**: F-43m, No. 216
**Crystal system**: cubic
**Total DFT energy (no corrections)**: -34.396 eV per cell

The structure in Quantum ESPRESSO input format:
```
&SYSTEM
  ibrav = 0, nat = 4, ntyp = 4
/
ATOMIC_SPECIES
Ru 101.07 Ru.upf
Pa 231.04 Pa.upf
Tb 158.93 Tb.upf
Ir 192.22 Ir.upf
ATOMIC_POSITIONS crystal
Ru 0.7500 0.7500 0.7500
Pa 0.5000 0.5000 0.5000
Tb 0.0000 0.0000 0.0000
Ir 0.2500 0.2500 0.2500
CELL_PARAMETERS angstrom
4.8662 0.0000 0.0000
2.4331 4.2142 0.0000
2.4331 1.4047 3.9732
```

=====

(13)
Here is a geometry-optimized TmPaIrRu structure from Alexandria. Energies are from PBE-GGA. Values from VASP.

Summary:
**Mass density**: 14.0 g/cm3
**Symmetry**: Cm, No. 8
**Crystal system**: monoclinic
**Total DFT energy (no corrections)**: -34.704 eV per cell

The structure in Quantum ESPRESSO input format:
```
&SYSTEM
  ibrav = 0, nat = 4, ntyp = 4
/
ATOMIC_SPECIES
Tm 168.93 Tm.upf
Pa 231.04 Pa.upf
Ir 192.22 Ir.upf
Ru 101.07 Ru.upf
ATOMIC_POSITIONS crystal
Tm 0.7494 0.2461 0.4987
Pa 0.2483 0.7369 0.4965
Ir 0.9831 0.9359 0.9661
Ru 0.5193 0.5810 0.0386
CELL_PARAMETERS angstrom
4.6527 0.0000 0.0000
0.0000 5.1739 0.4424
-2.3263 -2.2741 3.2306
```